This record from Alexandria describes a relaxed structure of RuRhS2Cl. The functional is PBE-GGA.

Cell: 4.5161 4.5161 4.9053 Å, 90.00 90.00 90.00°
Each line ends with the local moment (μB).
Element x y z (fractional)
Ru 0.0000 0.0000 0.0000  -0.18
S 0.0000 0.5000 0.0000  0.07
S 0.5000 0.0000 0.0000  0.07
Rh 0.5000 0.5000 0.5000  1.44
Cl 0.0000 0.0000 0.5000  0.07

Summary:
- E_form (uncorrected) (eV per formula unit) = 3.6
- ρ (Mg/m³) = 5.04
- energy (eV per cell) = -23.128
- SG = No. 123